Below is crystalline SrZnInNiSe at its relaxed geometry, with properties calculated at the PBE-GGA level.

Results
Space group = Cm
Electronic total energy = -3.477 eV per atom
N(E_F) = 1.5 states/eV/f.u.
Uncorrected formation energy = -485 meV/atom
Relative energy among the computed polymorphs = 161 meV/atom

Cell: 4.4602 4.4602 7.1057 Å, 94.89 94.89 58.17°
Fractional coordinates of all 5 atoms:
Sr (0.0000, 0.0000, 0.0000)
Zn (0.3537, 0.3537, 0.3175)
In (0.0352, 0.0352, 0.4753)
Ni (0.6972, 0.6972, 0.3862)
Se (0.6538, 0.6538, 0.7533)

=====

Below is crystalline CeBe17Mo at its relaxed geometry, with properties calculated at the PBE-GGA level.

Results
Space group = R3m
Electronic total energy = -4.281 eV per atom
N(E_F) = 5.8 states/eV/f.u.
ΔH_f (0 K) = -0.07 eV per atom

Cell: 5.6874 5.6874 5.6874 Å, 82.86 82.86 82.86°
Fractional coordinates of all 19 atoms:
Ce (0.0000, 0.0000, 0.0000)
Be (0.0508, 0.3450, 0.6238)
Be (0.0508, 0.6238, 0.3450)
Be (0.1850, 0.6777, 0.6777)
Be (0.2488, 0.2488, 0.2488)
Be (0.3424, 0.3424, 0.8391)
Be (0.3424, 0.8391, 0.3424)
Be (0.3450, 0.0508, 0.6238)
Be (0.3450, 0.6238, 0.0508)
Be (0.4413, 0.4413, 0.4413)
Be (0.5009, 0.9926, 0.9926)
Be (0.6238, 0.0508, 0.3450)
Be (0.6238, 0.3450, 0.0508)
Be (0.6777, 0.1850, 0.6777)
Be (0.6777, 0.6777, 0.1850)
Be (0.8391, 0.3424, 0.3424)
Be (0.9926, 0.5009, 0.9926)
Be (0.9926, 0.9926, 0.5009)
Mo (0.6754, 0.6754, 0.6754)

=====

Below is crystalline Er2Al5Co4 at its relaxed geometry, with properties calculated at the PBE-GGA level.

Results
Space group = Fmmm
Electronic total energy = -5.511 eV per atom
N(E_F) = 11.1 states/eV/f.u.
ΔH_f (0 K) = -0.40 eV per atom

Cell: 8.6870 7.8099 5.3118 Å, 80.46 62.45 37.09°
Fractional coordinates of all 11 atoms:
Er (0.1448, 0.1448, 0.8552)
Er (0.8552, 0.8552, 0.1448)
Al (0.0000, 0.0000, 0.5000)
Al (0.2500, 0.2500, 0.2500)
Al (0.5000, 0.5000, 0.0000)
Al (0.5000, 0.5000, 0.5000)
Al (0.7500, 0.7500, 0.7500)
Co (0.2161, 0.5278, 0.4722)
Co (0.4722, 0.7839, 0.2161)
Co (0.5278, 0.2161, 0.7839)
Co (0.7839, 0.4722, 0.5278)

=====

Below is crystalline RbInI2O at its relaxed geometry, with properties calculated at the PBE-GGA level.

Results
Space group = P4/mmm
Electronic total energy = -2.392 eV per atom
N(E_F) = 9.3 states/eV/f.u.
Uncorrected formation energy = -39 meV/atom
Relative energy among the computed polymorphs = 917 meV/atom

Cell: 6.8568 6.8568 5.1569 Å, 90.00 90.00 90.00°
Fractional coordinates of all 5 atoms:
Rb (0.0000, 0.0000, 0.0000)
In (0.5000, 0.5000, 0.5000)
I (0.0000, 0.5000, 0.0000)
I (0.5000, 0.0000, 0.0000)
O (0.0000, 0.0000, 0.5000)

=====

Below is crystalline BeBPdAu at its relaxed geometry, with properties calculated at the PBE-GGA level.

Results
Space group = R3m
Electronic total energy = -4.618 eV per atom
N(E_F) = 0.2 states/eV/f.u.
ΔH_f (0 K) = 0.10 eV per atom
Relative energy among the computed polymorphs = 95 meV/atom

Cell: 6.1755 6.1755 6.1755 Å, 29.53 29.53 29.53°
Fractional coordinates of all 4 atoms:
Be (0.0000, 0.0000, 0.0000)
B (0.7212, 0.7212, 0.7212)
Pd (0.5942, 0.5942, 0.5942)
Au (0.1304, 0.1304, 0.1304)

=====

Below is crystalline Ba2Ac2O5 at its relaxed geometry, with properties calculated at the PBE-GGA level.

Results
Space group = Cmce
Electronic total energy = -6.989 eV per atom
N(E_F) = 0.0 states/eV/f.u.
Uncorrected formation energy = -2894 meV/atom

Cell: 7.5030 7.5030 7.2208 Å, 90.00 90.00 57.31°
Fractional coordinates of all 18 atoms:
Ba (0.2072, 0.2072, 0.0000)
Ba (0.2928, 0.2928, 0.5000)
Ba (0.7072, 0.7072, 0.5000)
Ba (0.7928, 0.7928, 0.0000)
Ac (0.1692, 0.8308, 0.6676)
Ac (0.3308, 0.6692, 0.1676)
Ac (0.6692, 0.3308, 0.8324)
Ac (0.8308, 0.1692, 0.3324)
O (0.0000, 0.0000, 0.0000)
O (0.0339, 0.7163, 0.3482)
O (0.2163, 0.5339, 0.8482)
O (0.2837, 0.9661, 0.3482)
O (0.4661, 0.7837, 0.8482)
O (0.5000, 0.5000, 0.5000)
O (0.5339, 0.2163, 0.1518)
O (0.7163, 0.0339, 0.6518)
O (0.7837, 0.4661, 0.1518)
O (0.9661, 0.2837, 0.6518)

=====

Below is crystalline TlHg2P at its relaxed geometry, with properties calculated at the PBE-GGA level.

Results
Space group = Pm
Electronic total energy = -1.802 eV per atom
N(E_F) = 1.7 states/eV/f.u.
ΔH_f (0 K) = 0.29 eV per atom
Relative energy among the computed polymorphs = 149 meV/atom

Cell: 3.3250 5.6684 5.3965 Å, 90.00 90.01 90.00°
Fractional coordinates of all 4 atoms:
Tl (0.0000, 0.0000, 0.0000)
Hg (0.0113, 0.5000, 0.5013)
Hg (0.5043, 0.0000, 0.4999)
P (0.0119, 0.5000, 0.0014)

=====

Below is crystalline Zr2FeSi at its relaxed geometry, with properties calculated at the PBE-GGA level.

Results
Space group = I-42d
Electronic total energy = -7.652 eV per atom
N(E_F) = 4.7 states/eV/f.u.
Uncorrected formation energy = 93 meV/atom

Cell: 5.7796 5.7796 5.7796 Å, 104.69 104.69 119.52°
Fractional coordinates of all 8 atoms:
Zr (0.0963, 0.1250, 0.4713)
Zr (0.3750, 0.9037, 0.0287)
Zr (0.6537, 0.6250, 0.5287)
Zr (0.8750, 0.3463, 0.9713)
Fe (0.0000, 0.0000, 0.0000)
Fe (0.7500, 0.2500, 0.5000)
Si (0.2500, 0.7500, 0.5000)
Si (0.5000, 0.5000, 0.0000)

=====

Among the records above, which one has the highest N(E_F)? Er2Al5Co4